Below is a relaxed structure of K3VO3, with properties calculated at the PBE+U level.

Output
As for the magnetization: 2.00 μB per formula unit. Its offset from the most stable computed form is 0.004 eV/atom.

Cell: 7.343 6.762 10.946 Å, 90.00 92.89 90.00°
Positions (direct):
K: 0.053 0.121 0.163
K: 0.053 0.379 0.663
K: 0.353 0.174 0.925
K: 0.353 0.326 0.425
K: 0.375 0.687 0.814
K: 0.375 0.813 0.314
K: 0.625 0.187 0.686
K: 0.625 0.313 0.186
K: 0.647 0.674 0.575
K: 0.647 0.826 0.075
K: 0.947 0.621 0.337
K: 0.947 0.879 0.837
V: 0.161 0.591 0.070
V: 0.161 0.909 0.570
V: 0.839 0.091 0.430
V: 0.839 0.409 0.930
O: 0.106 0.040 0.408
O: 0.106 0.460 0.908
O: 0.260 0.654 0.547
O: 0.260 0.846 0.047
O: 0.293 0.041 0.697
O: 0.293 0.459 0.197
O: 0.707 0.541 0.803
O: 0.707 0.959 0.303
O: 0.740 0.154 0.953
O: 0.740 0.346 0.453
O: 0.894 0.540 0.092
O: 0.894 0.960 0.592